Compound: Ho5ZrP6
Source: Alexandria via LeMat-Bulk
Functional: PBE
Structure: optimized geometry

Output
Formation enthalpy at 0 K in eV/atom: -1.577
Density of states at the Fermi level in states/eV/atom: 0.206
Mass density in Mg/m³: 7.06

a = 6.817 Å, b = 6.817 Å, c = 6.822 Å
α = 99.60°, β = 99.60°, γ = 119.96°
Fractional positions:
Ho 0.000 0.000 0.000
Ho 0.166 0.834 0.500
Ho 0.331 0.669 0.000
Ho 0.669 0.331 0.000
Ho 0.834 0.166 0.500
Zr 0.500 0.500 0.500
P 0.094 0.419 0.256
P 0.257 0.257 0.746
P 0.419 0.094 0.256
P 0.581 0.906 0.744
P 0.743 0.743 0.254
P 0.906 0.581 0.744